Entry from Alexandria via LeMat-Bulk: an optimized crystal structure of Nd4Y2Pb3N2 (PBE).

a b c (Å): 13.3415 13.3415 13.3415
angles (deg): 158.90 158.90 30.01
Last column: nearest neighbours and their distance in Å.
Atoms (fractional coordinates):
Nd  0.0861  0.5861  0.5000  2 N 2.50
Nd  0.4139  0.9139  0.5000  2 N 2.50
Nd  0.5861  0.0861  0.5000  2 N 2.50
Nd  0.9139  0.4139  0.5000  2 N 2.50
Y  0.1928  0.1928  0.0000  1 N 2.22
Y  0.8072  0.8072  0.0000  1 N 2.22
Pb  0.3191  0.3191  0.0000  5 Y 3.26-3.47, 4 Nd 3.45
Pb  0.5000  0.5000  0.0000  8 Nd 3.30
Pb  0.6809  0.6809  0.0000  5 Y 3.26-3.47, 4 Nd 3.45
N  0.1067  0.1067  0.0000  1 Y 2.22
N  0.8933  0.8933  0.0000  1 Y 2.22

Output
The density is 7.58 g/cm³. As for the energy relative to the elements, uncorrected: -0.84 eV per atom. The calculation puts the uncorrected energy at -69.0 eV for the cell shown.



Entry from Alexandria via LeMat-Bulk: an optimized crystal structure of AlHPd3 (PBE).

a b c (Å): 7.0260 7.0260 6.6167
angles (deg): 90.96 90.96 23.39
Last column: nearest neighbours and their distance in Å.
Atoms (fractional coordinates):
Al  0.2104  0.2104  0.2917  7 Pd 2.54-2.61, 2 Al 2.85
Al  0.7896  0.7896  0.7083  7 Pd 2.54-2.61, 2 Al 2.85
H  0.4408  0.4408  0.1649  2 Pd 1.87
H  0.5592  0.5592  0.8351  2 Pd 1.87
Pd  0.0256  0.0256  0.2179  2 H 1.87
Pd  0.1697  0.1697  0.9077  2 H 2.13
Pd  0.3835  0.3835  0.4600  1 H 2.12
Pd  0.6165  0.6165  0.5400  1 H 2.12
Pd  0.8303  0.8303  0.0923  2 H 2.13
Pd  0.9744  0.9744  0.7821  2 H 1.87

Output
The density is 8.89 g/cm³. The calculation puts the offset from the most stable computed form at 159.0 meV per atom. The calculation puts the uncorrected energy at -49.3 eV for the cell shown.



Entry from Alexandria via LeMat-Bulk: an optimized crystal structure of K2LaNp3O12 (PBE).

a b c (Å): 7.2466 7.2466 7.2466
angles (deg): 68.72 68.72 68.72
Last column: nearest neighbours and their distance in Å.
Atoms (fractional coordinates):
K  0.1214  0.1214  0.1214  3 O 2.76
K  0.8786  0.8786  0.8786  3 O 2.76
La  0.5000  0.5000  0.5000  6 O 2.61
Np  0.0000  0.5000  0.5000  6 O 1.91-2.13
Np  0.5000  0.0000  0.5000  6 O 1.91-2.13
Np  0.5000  0.5000  0.0000  6 O 1.91-2.13
O  0.0995  0.6233  0.6233  1 Np 1.91
O  0.2300  0.2300  0.5909  2 Np 2.13
O  0.2300  0.5909  0.2300  2 Np 2.13
O  0.3767  0.3767  0.9005  1 Np 1.91
O  0.3767  0.9005  0.3767  1 Np 1.91
O  0.4091  0.7700  0.7700  2 Np 2.13
O  0.5909  0.2300  0.2300  2 Np 2.13
O  0.6233  0.0995  0.6233  1 Np 1.91
O  0.6233  0.6233  0.0995  1 Np 1.91
O  0.7700  0.4091  0.7700  2 Np 2.13
O  0.7700  0.7700  0.4091  2 Np 2.13
O  0.9005  0.3767  0.3767  1 Np 1.91

Output
The density is 5.84 g/cm³. As for the energy relative to the elements, uncorrected: -2.71 eV per atom. The calculation puts the uncorrected energy at -154.2 eV for the cell shown.



Entry from Alexandria via LeMat-Bulk: an optimized crystal structure of Ho8GaPt2 (PBE).

a b c (Å): 7.9132 7.9132 5.4558
angles (deg): 98.71 98.71 114.23
Last column: nearest neighbours and their distance in Å.
Atoms (fractional coordinates):
Ho  0.0000  0.0000  0.0000  2 Pt 3.11, 1 Ga 3.15, 4 Ho 3.28-3.42
Ho  0.0497  0.3000  0.6022  2 Pt 2.85-2.93
Ho  0.1450  0.6143  0.1893  2 Pt 2.88, 1 Ga 3.12
Ho  0.3000  0.0497  0.6022  2 Pt 2.85-2.93
Ho  0.4613  0.7114  0.7716  2 Pt 2.85-2.93
Ho  0.6143  0.1450  0.1893  2 Pt 2.88, 1 Ga 3.12
Ho  0.7114  0.4613  0.7716  2 Pt 2.85-2.93
Ho  0.7642  0.7642  0.3803  2 Pt 3.11, 1 Ga 3.16, 4 Ho 3.28-3.42
Ga  0.3810  0.3810  0.2114  6 Ho 3.12-3.49
Pt  0.0762  0.6857  0.6895  8 Ho 2.85-3.11
Pt  0.6857  0.0762  0.6895  8 Ho 2.85-3.11

Output
The density is 9.88 g/cm³. For the energy relative to the elements, the calculation gives -0.504 eV/atom. The calculation puts the uncorrected energy at -57.3 eV for the cell shown.



Entry from Alexandria via LeMat-Bulk: an optimized crystal structure of TlCu2Ru (PBE).

a b c (Å): 3.1033 4.4922 8.9949
angles (deg): 90.00 90.00 90.00
Last column: nearest neighbours and their distance in Å.
Atoms (fractional coordinates):
Tl  0.0000  0.0000  0.0000  4 Ru 2.73, 4 Cu 2.81
Tl  0.5000  0.5000  0.5000  4 Ru 2.73, 4 Cu 2.81
Cu  0.0000  0.5000  0.2393  2 Ru 2.65, 4 Cu 2.74, 2 Tl 2.81
Cu  0.0000  0.5000  0.7607  2 Ru 2.65, 4 Cu 2.74, 2 Tl 2.81
Cu  0.5000  0.0000  0.2607  2 Ru 2.65, 4 Cu 2.74, 2 Tl 2.81
Cu  0.5000  0.0000  0.7393  2 Ru 2.65, 4 Cu 2.74, 2 Tl 2.81
Ru  0.0000  0.0000  0.5000  4 Cu 2.65, 4 Tl 2.73
Ru  0.5000  0.5000  0.0000  4 Cu 2.65, 4 Tl 2.73

Output
The density is 11.46 g/cm³. The calculation puts the offset from the most stable computed form at 104.8 meV per atom. For the energy relative to the elements, the calculation gives 0.448 eV/atom. The calculation puts the uncorrected energy at -36.1 eV for the cell shown.



Entry from Alexandria via LeMat-Bulk: an optimized crystal structure of La3SmPt (PBE).

a b c (Å): 8.0522 6.9399 6.3815
angles (deg): 90.00 90.00 90.00
Last column: nearest neighbours and their distance in Å.
Atoms (fractional coordinates):
La  0.0000  0.1458  0.0000  1 Pt 2.97
La  0.2488  0.3061  0.5017  2 Pt 2.90
La  0.2512  0.6939  0.0017  2 Pt 2.90
La  0.5000  0.8542  0.5000  1 Pt 2.97
La  0.7488  0.6939  0.0017  2 Pt 2.90
La  0.7512  0.3061  0.5017  2 Pt 2.90
Sm  0.0000  0.8470  0.5122  1 Pt 2.89
Sm  0.5000  0.1530  0.0122  1 Pt 2.89
Pt  0.0000  0.5048  0.2533  1 Sm 2.89, 5 La 2.90-2.97
Pt  0.5000  0.4952  0.7533  1 Sm 2.89, 5 La 2.90-2.97

Output
The density is 7.10 g/cm³. The calculation puts the offset from the most stable computed form at 110.5 meV per atom. For the energy relative to the elements, the calculation gives -0.382 eV/atom. The calculation puts the uncorrected energy at -54.9 eV for the cell shown.



Entry from Alexandria via LeMat-Bulk: an optimized crystal structure of Mg3ScAu12 (PBE).

a b c (Å): 4.1901 4.1901 16.4467
angles (deg): 90.00 90.00 90.00
Last column: nearest neighbours and their distance in Å.
Atoms (fractional coordinates):
Mg  0.0000  0.0000  0.0000  12 Au 2.93-2.96
Mg  0.0000  0.0000  0.2474  12 Au 2.91-2.96
Mg  0.0000  0.0000  0.7526  12 Au 2.91-2.96
Sc  0.0000  0.0000  0.5000  12 Au 2.94-2.96
Au  0.0000  0.5000  0.1244  4 Mg 2.91-2.93, 8 Au 2.93-2.96
Au  0.0000  0.5000  0.3742  8 Au 2.94-2.96, 2 Sc 2.94, 2 Mg 2.96
Au  0.0000  0.5000  0.6258  8 Au 2.94-2.96, 2 Sc 2.94, 2 Mg 2.96
Au  0.0000  0.5000  0.8756  4 Mg 2.91-2.93, 8 Au 2.93-2.96
Au  0.5000  0.0000  0.1244  4 Mg 2.91-2.93, 8 Au 2.93-2.96
Au  0.5000  0.0000  0.3742  8 Au 2.94-2.96, 2 Sc 2.94, 2 Mg 2.96
Au  0.5000  0.0000  0.6258  8 Au 2.94-2.96, 2 Sc 2.94, 2 Mg 2.96
Au  0.5000  0.0000  0.8756  4 Mg 2.91-2.93, 8 Au 2.93-2.96
Au  0.5000  0.5000  0.0000  8 Au 2.93, 4 Mg 2.96
Au  0.5000  0.5000  0.2492  8 Au 2.93-2.94, 4 Mg 2.96
Au  0.5000  0.5000  0.5000  8 Au 2.94, 4 Sc 2.96
Au  0.5000  0.5000  0.7508  8 Au 2.93-2.94, 4 Mg 2.96

Output
The density is 14.27 g/cm³. For the energy relative to the elements, the calculation gives -0.414 eV/atom. The calculation puts the uncorrected energy at -57.1 eV for the cell shown.



Entry from Alexandria via LeMat-Bulk: an optimized crystal structure of ReRu2F (PBE).

a b c (Å): 6.0091 6.0091 6.0091
angles (deg): 90.00 90.00 90.00
Last column: nearest neighbours and their distance in Å.
Atoms (fractional coordinates):
Re  0.0000  0.0000  0.0000  8 Ru 2.60
Re  0.0000  0.5000  0.5000  8 Ru 2.60
Re  0.5000  0.0000  0.5000  8 Ru 2.60
Re  0.5000  0.5000  0.0000  8 Ru 2.60
Ru  0.2500  0.2500  0.2500  4 F 2.60, 4 Re 2.60
Ru  0.2500  0.2500  0.7500  4 F 2.60, 4 Re 2.60
Ru  0.2500  0.7500  0.2500  4 F 2.60, 4 Re 2.60
Ru  0.2500  0.7500  0.7500  4 F 2.60, 4 Re 2.60
Ru  0.7500  0.2500  0.2500  4 F 2.60, 4 Re 2.60
Ru  0.7500  0.2500  0.7500  4 F 2.60, 4 Re 2.60
Ru  0.7500  0.7500  0.2500  4 F 2.60, 4 Re 2.60
Ru  0.7500  0.7500  0.7500  4 F 2.60, 4 Re 2.60
F  0.0000  0.0000  0.5000  8 Ru 2.60
F  0.0000  0.5000  0.0000  8 Ru 2.60
F  0.5000  0.0000  0.0000  8 Ru 2.60
F  0.5000  0.5000  0.5000  8 Ru 2.60

Output
The density is 12.47 g/cm³. The calculation puts the offset from the most stable computed form at 0.0 meV per atom. As for the energy relative to the elements, uncorrected: 0.28 eV per atom. The calculation puts the uncorrected energy at -127.1 eV for the cell shown.



The records above yield Fermi-level density of states values of 1.8; 3.5; 10.8; 13.0; 5.2; 14.6; 6.2; 12.4 states/eV/cell, respectively.